(1)
Here is a relaxed Rb12H3Au5 crystal from Alexandria via LeMat-Bulk. Energies are from PBE.

Calculated values
Size of the total moment: 0.35 μB per formula unit
D(E_F): 55.53 states/eV per cell
Uncorrected energy: -1.894 eV per atom

abc: 17.2187 17.2187 17.2187
angles: 109.47 109.47 109.47
With the nearest neighbours (Å) after each atom.
Atoms (fractional coordinates):
H1 0.7500 0.3750 0.1250  4 Rb 3.34
H2 0.8750 0.7500 0.1250  4 Rb 3.34
H3 0.3750 0.7500 0.6250  4 Rb 3.34
H4 0.2500 0.1250 0.3750  4 Rb 3.34
H5 0.8750 0.1250 0.2500  4 Rb 3.34
H6 0.3750 0.6250 0.2500  4 Rb 3.34
H7 0.6250 0.3750 0.7500  4 Rb 3.34
H8 0.1250 0.8750 0.7500  4 Rb 3.34
H9 0.7500 0.8750 0.6250  4 Rb 3.34
H10 0.6250 0.2500 0.3750  4 Rb 3.34
H11 0.1250 0.2500 0.8750  4 Rb 3.34
H12 0.2500 0.6250 0.8750  4 Rb 3.34
Au1 0.1250 0.3750 0.2500  4 Rb 3.29
Au2 0.0000 0.5000 0.0000  6 Rb 3.44
Au3 0.0000 0.0000 0.0000  6 Rb 3.44
Au4 0.3750 0.2500 0.1250  4 Rb 3.29
Au5 0.5000 0.0000 0.5000  6 Rb 3.44
Au6 0.5000 0.5000 0.0000  6 Rb 3.44
Au7 0.1250 0.7500 0.3750  4 Rb 3.29
Au8 0.7500 0.1250 0.8750  4 Rb 3.29
Au9 0.7500 0.6250 0.3750  4 Rb 3.29
Au10 0.3750 0.1250 0.7500  4 Rb 3.29
Au11 0.6250 0.8750 0.2500  4 Rb 3.29
Au12 0.5000 0.5000 0.5000  6 Rb 3.44
Au13 0.5000 0.0000 0.0000  6 Rb 3.44
Au14 0.0000 0.0000 0.5000  6 Rb 3.44
Au15 0.2500 0.3750 0.6250  4 Rb 3.29
Au16 0.2500 0.8750 0.1250  4 Rb 3.29
Au17 0.0000 0.5000 0.5000  6 Rb 3.44
Au18 0.8750 0.2500 0.6250  4 Rb 3.29
Au19 0.6250 0.7500 0.8750  4 Rb 3.29
Au20 0.8750 0.6250 0.7500  4 Rb 3.29
Rb1 0.7335 0.1211 0.0586  2 Au 3.29-3.44, 1 H 3.34
Rb2 0.3251 0.5586 0.4375  2 Au 3.29-3.44, 1 H 3.34
Rb3 0.9414 0.3789 0.2665  2 Au 3.29-3.44, 1 H 3.34
Rb4 0.5586 0.2335 0.1211  2 Au 3.29-3.44, 1 H 3.34
Rb5 0.6125 0.7335 0.6749  2 Au 3.29-3.44, 1 H 3.34
Rb6 0.9414 0.5625 0.1749  2 Au 3.29-3.44, 1 H 3.34
Rb7 0.3251 0.7665 0.3875  2 Au 3.29-3.44, 1 H 3.34
Rb8 0.0625 0.8875 0.1211  2 Au 3.29-3.44, 1 H 3.34
Rb9 0.5625 0.9414 0.6749  2 Au 3.29-3.44, 1 H 3.34
Rb10 0.7335 0.6125 0.1749  2 Au 3.29-3.44, 1 H 3.34
Rb11 0.7665 0.4414 0.3789  2 Au 3.29-3.44, 1 H 3.34
Rb12 0.8251 0.9375 0.0586  2 Au 3.29-3.44, 1 H 3.34
Rb13 0.1211 0.7335 0.5586  2 Au 3.29-3.44, 1 H 3.34
Rb14 0.3789 0.4375 0.1125  2 Au 3.29-3.44, 1 H 3.34
Rb15 0.1125 0.9375 0.3789  2 Au 3.29-3.44, 1 H 3.34
Rb16 0.3875 0.1211 0.5625  2 Au 3.29-3.44, 1 H 3.34
Rb17 0.1125 0.1749 0.2335  2 Au 3.29-3.44, 1 H 3.34
Rb18 0.4414 0.6749 0.0625  2 Au 3.29-3.44, 1 H 3.34
Rb19 0.8251 0.8875 0.2665  2 Au 3.29-3.44, 1 H 3.34
Rb20 0.1211 0.3875 0.0625  2 Au 3.29-3.44, 1 H 3.34
Rb21 0.3789 0.9414 0.7665  2 Au 3.29-3.44, 1 H 3.34
Rb22 0.5625 0.6211 0.3875  2 Au 3.29-3.44, 1 H 3.34
Rb23 0.9375 0.8251 0.5586  2 Au 3.29-3.44, 1 H 3.34
Rb24 0.7665 0.3251 0.8875  2 Au 3.29-3.44, 1 H 3.34
Rb25 0.4375 0.3789 0.6125  2 Au 3.29-3.44, 1 H 3.34
Rb26 0.0625 0.1749 0.4414  2 Au 3.29-3.44, 1 H 3.34
Rb27 0.2335 0.6749 0.1125  2 Au 3.29-3.44, 1 H 3.34
Rb28 0.1749 0.1125 0.7335  2 Au 3.29-3.44, 1 H 3.34
Rb29 0.6211 0.0586 0.2335  2 Au 3.29-3.44, 1 H 3.34
Rb30 0.8789 0.6125 0.9375  2 Au 3.29-3.44, 1 H 3.34
Rb31 0.5586 0.3251 0.9375  2 Au 3.29-3.44, 1 H 3.34
Rb32 0.6125 0.8789 0.4375  2 Au 3.29-3.44, 1 H 3.34
Rb33 0.8875 0.8251 0.7665  2 Au 3.29-3.44, 1 H 3.34
Rb34 0.8875 0.0625 0.6211  2 Au 3.29-3.44, 1 H 3.34
Rb35 0.8789 0.2665 0.4414  2 Au 3.29-3.44, 1 H 3.34
Rb36 0.1749 0.0625 0.9414  2 Au 3.29-3.44, 1 H 3.34
Rb37 0.6211 0.5625 0.8875  2 Au 3.29-3.44, 1 H 3.34
Rb38 0.4375 0.0586 0.3251  2 Au 3.29-3.44, 1 H 3.34
Rb39 0.2665 0.3875 0.8251  2 Au 3.29-3.44, 1 H 3.34
Rb40 0.2335 0.5586 0.6211  2 Au 3.29-3.44, 1 H 3.34
Rb41 0.9375 0.1125 0.8789  2 Au 3.29-3.44, 1 H 3.34
Rb42 0.6749 0.2335 0.6125  2 Au 3.29-3.44, 1 H 3.34
Rb43 0.4414 0.7665 0.8789  2 Au 3.29-3.44, 1 H 3.34
Rb44 0.0586 0.4375 0.8251  2 Au 3.29-3.44, 1 H 3.34
Rb45 0.3875 0.2665 0.3251  2 Au 3.29-3.44, 1 H 3.34
Rb46 0.0586 0.6211 0.7335  2 Au 3.29-3.44, 1 H 3.34
Rb47 0.6749 0.4414 0.5625  2 Au 3.29-3.44, 1 H 3.34
Rb48 0.2665 0.8789 0.9414  2 Au 3.29-3.44, 1 H 3.34


(2)
Here is a relaxed Rb3H2Au crystal from Alexandria via LeMat-Bulk. Energies are from PBE.

Calculated values
Size of the total moment: 0.00 μB per formula unit
D(E_F): 0.00 states/eV per cell
Uncorrected energy: -2.306 eV per atom

abc: 4.3593 7.8258 11.7396
angles: 102.85 90.00 90.00
With the nearest neighbours (Å) after each atom.
Atoms (fractional coordinates):
Rb1 0.7500 0.6553 0.6414  4 H 2.99-3.31
Rb2 0.2500 0.3447 0.3586  4 H 2.99-3.31
Rb3 0.7500 0.8805 0.3465  5 H 2.98-3.18
Rb4 0.2500 0.1195 0.6535  5 H 2.98-3.18
Rb5 0.2500 0.2033 0.9843  3 H 3.05-3.12
Rb6 0.7500 0.7967 0.0157  3 H 3.05-3.12
H1 0.2500 0.7617 0.4977  6 Rb 2.98-3.31
H2 0.7500 0.2383 0.5023  6 Rb 2.98-3.31
H3 0.7500 0.0128 0.8223  6 Rb 3.05-3.18
H4 0.2500 0.9872 0.1777  6 Rb 3.05-3.18
Au1 0.2500 0.5300 0.8319  6 Rb 3.42-3.43
Au2 0.7500 0.4700 0.1681  6 Rb 3.42-3.43


(3)
Here is a relaxed Rb2H7Au2 crystal from Alexandria via LeMat-Bulk. Energies are from PBE.

Calculated values
Size of the total moment: 0.00 μB per formula unit
D(E_F): 2.28 states/eV per cell
Uncorrected energy: -2.815 eV per atom

abc: 5.4747 5.6023 5.6023
angles: 73.70 94.97 94.97
With the nearest neighbours (Å) after each atom.
Atoms (fractional coordinates):
Rb1 0.0000 0.2506 0.7494  8 H 2.83-3.06
Rb2 0.0000 0.7494 0.2506  8 H 2.83-3.06
H1 0.6543 0.9020 0.5756  1 Au 1.68
H2 0.3457 0.4244 0.0980  1 Au 1.68
H3 0.3457 0.0980 0.4244  1 Au 1.68
H4 0.6543 0.5756 0.9020  1 Au 1.68
H5 0.5000 0.0000 0.0000  2 Au 1.96
H6 0.1258 0.7662 0.7662  1 Au 1.71
H7 0.8742 0.2338 0.2338  1 Au 1.71
Au1 0.5595 0.2191 0.2191  3 H 1.68-1.71
Au2 0.4405 0.7809 0.7809  3 H 1.68-1.71


(4)
Here is a relaxed RbHAu2 crystal from Alexandria via LeMat-Bulk. Energies are from PBE.

Calculated values
Size of the total moment: 0.00 μB per formula unit
Offset from the most stable computed form: 0.000 eV per atom
D(E_F): 0.70 states/eV per cell

abc: 5.6257 5.6257 6.9765
angles: 66.22 66.22 90.00
With the nearest neighbours (Å) after each atom.
Atoms (fractional coordinates):
H1 0.5000 0.5000 0.0000  4 Au 2.01
H2 0.2500 0.7500 0.5000  4 Au 2.01
Au1 0.3750 0.1250 0.2500  2 H 2.01
Au2 0.3750 0.6250 0.2500  2 H 2.01
Au3 0.3750 0.6250 0.7500  2 H 2.01
Au4 0.8750 0.6250 0.7500  2 H 2.01
Rb1 0.0000 0.0000 0.0000  8 Au 3.46
Rb2 0.7500 0.2500 0.5000  8 Au 3.46


(5)
Here is a relaxed RbH2Au2 crystal from Alexandria via LeMat-Bulk. Energies are from PBE.

Calculated values
Size of the total moment: 0.00 μB per formula unit
Offset from the most stable computed form: 0.012 eV per atom
D(E_F): 1.15 states/eV per cell

abc: 4.0233 4.0233 6.6091
angles: 72.28 72.28 90.00
With the nearest neighbours (Å) after each atom.
Atoms (fractional coordinates):
H1 0.7500 0.2500 0.5000  4 Au 2.05
H2 0.2500 0.7500 0.5000  4 Au 2.05
Au1 0.2814 0.2814 0.4371  4 H 2.05
Au2 0.7186 0.7186 0.5629  4 H 2.05
Rb1 0.0000 0.0000 0.0000  2 Au 3.36, 8 H 3.60


(6)
Here is a relaxed Rb3H3Au crystal from Alexandria via LeMat-Bulk. Energies are from PBE.

Calculated values
Size of the total moment: 0.15 μB per formula unit
D(E_F): 4.45 states/eV per cell
Uncorrected energy: -2.478 eV per atom

abc: 5.7289 9.0752 9.0752
angles: 120.00 90.00 90.00
With the nearest neighbours (Å) after each atom.
Atoms (fractional coordinates):
Rb1 0.7500 0.7121 0.6271  4 H 2.96-3.15
Rb2 0.7500 0.3729 0.0849  4 H 2.96-3.15
Rb3 0.7500 0.9151 0.2879  4 H 2.96-3.15
Rb4 0.2500 0.2879 0.3729  4 H 2.96-3.15
Rb5 0.2500 0.6271 0.9151  4 H 2.96-3.15
Rb6 0.2500 0.0849 0.7121  4 H 2.96-3.15
H1 0.2500 0.6855 0.5349  1 Au 1.75
H2 0.2500 0.4651 0.1506  1 Au 1.75
H3 0.2500 0.8494 0.3145  1 Au 1.75
H4 0.7500 0.3145 0.4651  1 Au 1.75
H5 0.7500 0.5349 0.8494  1 Au 1.75
H6 0.7500 0.1506 0.6855  1 Au 1.75
Au1 0.2500 0.6667 0.3333  3 H 1.75
Au2 0.7500 0.3333 0.6667  3 H 1.75


(7)
Here is a relaxed RbH2Au2 crystal from Alexandria via LeMat-Bulk. Energies are from PBE.

Calculated values
Size of the total moment: 0.00 μB per formula unit
Offset from the most stable computed form: 0.000 eV per atom
D(E_F): 1.24 states/eV per cell

abc: 8.3094 8.3094 2.8921
angles: 90.00 90.00 90.00
With the nearest neighbours (Å) after each atom.
Atoms (fractional coordinates):
H1 0.2869 0.7869 0.5000  2 Au 1.82
H2 0.7869 0.7131 0.5000  2 Au 1.82
H3 0.7131 0.2131 0.5000  2 Au 1.82
H4 0.2131 0.2869 0.5000  2 Au 1.82
Au1 0.3814 0.8814 0.0000  2 H 1.82
Au2 0.8814 0.6186 0.0000  2 H 1.82
Au3 0.6186 0.1186 0.0000  2 H 1.82
Au4 0.1186 0.3814 0.0000  2 H 1.82
Rb1 0.0000 0.0000 0.0000  2 Rb 2.89
Rb2 0.5000 0.5000 0.0000  2 Rb 2.89


(8)
Here is a relaxed Rb3H12Au5 crystal from Alexandria via LeMat-Bulk. Energies are from PBE.

Calculated values
Size of the total moment: 0.00 μB per formula unit
D(E_F): 6.38 states/eV per cell
Uncorrected energy: -2.887 eV per atom

abc: 11.3465 11.3465 11.3465
angles: 109.47 109.47 109.47
With the nearest neighbours (Å) after each atom.
Atoms (fractional coordinates):
Rb1 0.7500 0.3750 0.1250  8 H 2.78-3.01
Rb2 0.8750 0.7500 0.1250  8 H 2.78-3.01
Rb3 0.3750 0.7500 0.6250  8 H 2.78-3.01
Rb4 0.2500 0.1250 0.3750  8 H 2.78-3.01
Rb5 0.8750 0.1250 0.2500  8 H 2.78-3.01
Rb6 0.3750 0.6250 0.2500  8 H 2.78-3.01
Rb7 0.6250 0.3750 0.7500  8 H 2.78-3.01
Rb8 0.1250 0.8750 0.7500  8 H 2.78-3.01
Rb9 0.7500 0.8750 0.6250  8 H 2.78-3.01
Rb10 0.6250 0.2500 0.3750  8 H 2.78-3.01
Rb11 0.1250 0.2500 0.8750  8 H 2.78-3.01
Rb12 0.2500 0.6250 0.8750  8 H 2.78-3.01
Au1 0.1250 0.3750 0.2500  4 H 1.92
Au2 0.0000 0.5000 0.0000  6 H 1.82
Au3 0.0000 0.0000 0.0000  6 H 1.82
Au4 0.3750 0.2500 0.1250  4 H 1.92
Au5 0.5000 0.0000 0.5000  6 H 1.82
Au6 0.5000 0.5000 0.0000  6 H 1.82
Au7 0.1250 0.7500 0.3750  4 H 1.92
Au8 0.7500 0.1250 0.8750  4 H 1.92
Au9 0.7500 0.6250 0.3750  4 H 1.92
Au10 0.3750 0.1250 0.7500  4 H 1.92
Au11 0.6250 0.8750 0.2500  4 H 1.92
Au12 0.5000 0.5000 0.5000  6 H 1.82
Au13 0.5000 0.0000 0.0000  6 H 1.82
Au14 0.0000 0.0000 0.5000  6 H 1.82
Au15 0.2500 0.3750 0.6250  4 H 1.92
Au16 0.2500 0.8750 0.1250  4 H 1.92
Au17 0.0000 0.5000 0.5000  6 H 1.82
Au18 0.8750 0.2500 0.6250  4 H 1.92
Au19 0.6250 0.7500 0.8750  4 H 1.92
Au20 0.8750 0.6250 0.7500  4 H 1.92
H1 0.6536 0.0814 0.9779  2 Au 1.82-1.92
H2 0.3243 0.4779 0.3965  2 Au 1.82-1.92
H3 0.0221 0.4186 0.3464  2 Au 1.82-1.92
H4 0.4779 0.1536 0.0814  2 Au 1.82-1.92
H5 0.5722 0.6536 0.6757  2 Au 1.82-1.92
H6 0.0221 0.6035 0.1757  2 Au 1.82-1.92
H7 0.3243 0.8464 0.4278  2 Au 1.82-1.92
H8 0.1035 0.9278 0.0814  2 Au 1.82-1.92
H9 0.6035 0.0221 0.6757  2 Au 1.82-1.92
H10 0.6536 0.5722 0.1757  2 Au 1.82-1.92
H11 0.8464 0.5221 0.4186  2 Au 1.82-1.92
H12 0.8243 0.8965 0.9779  2 Au 1.82-1.92
H13 0.0814 0.6536 0.4779  2 Au 1.82-1.92
H14 0.4186 0.3965 0.0722  2 Au 1.82-1.92
H15 0.0722 0.8965 0.4186  2 Au 1.82-1.92
H16 0.4278 0.0814 0.6035  2 Au 1.82-1.92
H17 0.0722 0.1757 0.1536  2 Au 1.82-1.92
H18 0.5221 0.6757 0.1035  2 Au 1.82-1.92
H19 0.8243 0.9278 0.3464  2 Au 1.82-1.92
H20 0.0814 0.4278 0.1035  2 Au 1.82-1.92
H21 0.4186 0.0221 0.8464  2 Au 1.82-1.92
H22 0.6035 0.5814 0.4278  2 Au 1.82-1.92
H23 0.8965 0.8243 0.4779  2 Au 1.82-1.92
H24 0.8464 0.3243 0.9278  2 Au 1.82-1.92
H25 0.3965 0.4186 0.5722  2 Au 1.82-1.92
H26 0.1035 0.1757 0.5221  2 Au 1.82-1.92
H27 0.1536 0.6757 0.0722  2 Au 1.82-1.92
H28 0.1757 0.0722 0.6536  2 Au 1.82-1.92
H29 0.5814 0.9779 0.1536  2 Au 1.82-1.92
H30 0.9186 0.5722 0.8965  2 Au 1.82-1.92
H31 0.4779 0.3243 0.8965  2 Au 1.82-1.92
H32 0.5722 0.9186 0.3965  2 Au 1.82-1.92
H33 0.9278 0.8243 0.8464  2 Au 1.82-1.92
H34 0.9278 0.1035 0.5814  2 Au 1.82-1.92
H35 0.9186 0.3464 0.5221  2 Au 1.82-1.92
H36 0.1757 0.1035 0.0221  2 Au 1.82-1.92
H37 0.5814 0.6035 0.9278  2 Au 1.82-1.92
H38 0.3965 0.9779 0.3243  2 Au 1.82-1.92
H39 0.3464 0.4278 0.8243  2 Au 1.82-1.92
H40 0.1536 0.4779 0.5814  2 Au 1.82-1.92
H41 0.8965 0.0722 0.9186  2 Au 1.82-1.92
H42 0.6757 0.1536 0.5722  2 Au 1.82-1.92
H43 0.5221 0.8464 0.9186  2 Au 1.82-1.92
H44 0.9779 0.3965 0.8243  2 Au 1.82-1.92
H45 0.4278 0.3464 0.3243  2 Au 1.82-1.92
H46 0.9779 0.5814 0.6536  2 Au 1.82-1.92
H47 0.6757 0.5221 0.6035  2 Au 1.82-1.92
H48 0.3464 0.9186 0.0221  2 Au 1.82-1.92